VASP calculation (PBE) on crystalline PuTh8Co2 at its relaxed geometry.

Values from the calculation:
N(E_F)	17.23	states/eV/f.u.
formation energy	0.0204	eV per atom

Structure (CIF):
```
data_PuTh8Co2
_cell_length_a 8.281
_cell_length_b 13.447
_cell_length_c 5.684
_cell_angle_alpha 90.00
_cell_angle_beta 105.09
_cell_angle_gamma 90.00
_space_group_name_H-M_alt 'C 1 m 1'
_space_group_IT_number 8
_space_group_name_Hall 'C -2y'
loop_
_atom_site_label
_atom_site_type_symbol
_atom_site_fract_x
_atom_site_fract_y
_atom_site_fract_z
Pu1 Pu 0.000 0.000 0.000
Th1 Th 0.116 0.500 0.815
Th2 Th 0.208 0.124 0.582
Th3 Th 0.292 0.376 0.419
Th4 Th 0.384 0.000 0.186
Th5 Th 0.499 0.260 0.000
Co1 Co 0.001 0.300 0.502
```